# NdPbS2 PBE relaxed
data_NdPbS2
_chemical_formula_sum 'Nd2 Pb2 S4'
_cell_length_a 4.1389
_cell_length_b 8.3207
_cell_length_c 7.0979
_cell_angle_alpha 97.41
_cell_angle_beta 90.00
_cell_angle_gamma 90.00
_symmetry_space_group_name_H-M 'P 1'
_symmetry_Int_Tables_number 1
_symmetry_space_group_name_Hall 'P 1'
loop_
_atom_site_label
_atom_site_type_symbol
_atom_site_fract_x
_atom_site_fract_y
_atom_site_fract_z
Nd1 Nd 0.0000 0.0000 0.0000
Nd2 Nd 0.5000 0.0000 0.5000
Pb1 Pb 0.5000 0.5231 0.2587
Pb2 Pb 0.5000 0.4769 0.7413
S1 S 0.0000 0.1939 0.6949
S2 S 0.5000 0.1809 0.1934
S3 S 0.5000 0.8191 0.8066
S4 S 0.0000 0.8061 0.3051
# - Formation energy from raw total energies: -1266 meV per atom


# NdAg2SnSe4 PBE relaxed
data_NdAg2SnSe4
_chemical_formula_sum 'Nd1 Ag2 Sn1 Se4'
_cell_length_a 4.2051
_cell_length_b 6.8947
_cell_length_c 7.2958
_cell_angle_alpha 69.49
_cell_angle_beta 90.00
_cell_angle_gamma 90.00
_symmetry_space_group_name_H-M 'P 1'
_symmetry_Int_Tables_number 1
_symmetry_space_group_name_Hall 'P 1'
loop_
_atom_site_label
_atom_site_type_symbol
_atom_site_fract_x
_atom_site_fract_y
_atom_site_fract_z
Nd1 Nd 0.0000 0.5000 0.5000
Ag1 Ag 0.0000 0.0000 0.0000
Ag2 Ag 0.5000 0.0000 0.5000
Sn1 Sn 0.5000 0.5000 0.0000
Se1 Se 0.0000 0.7597 0.7524
Se2 Se 0.0000 0.2403 0.2476
Se3 Se 0.5000 0.7548 0.2411
Se4 Se 0.5000 0.2452 0.7589
# - Formation energy from raw total energies: -702 meV per atom


# Nd2Y3Th PBE relaxed
data_Nd2Y3Th
_chemical_formula_sum 'Nd4 Y6 Th2'
_cell_length_a 6.7286
_cell_length_b 6.7286
_cell_length_c 9.1210
_cell_angle_alpha 82.04
_cell_angle_beta 82.04
_cell_angle_gamma 94.92
_symmetry_space_group_name_H-M 'P 1'
_symmetry_Int_Tables_number 1
_symmetry_space_group_name_Hall 'P 1'
loop_
_atom_site_label
_atom_site_type_symbol
_atom_site_fract_x
_atom_site_fract_y
_atom_site_fract_z
Nd1 Nd 0.6257 0.1240 0.6240
Nd2 Nd 0.1240 0.6257 0.1240
Nd3 Nd 0.8760 0.3743 0.8760
Nd4 Nd 0.3743 0.8760 0.3760
Y1 Y 0.5811 0.4189 0.2500
Y2 Y 0.4189 0.5811 0.7500
Y3 Y 0.6717 0.8369 0.9971
Y4 Y 0.1631 0.3283 0.5029
Y5 Y 0.8369 0.6717 0.4971
Y6 Y 0.3283 0.1631 0.0029
Th1 Th 0.0861 0.9139 0.7500
Th2 Th 0.9139 0.0861 0.2500
# - ΔH_f (0 K): 0.111 eV per atom


# Er2OsRh PBE relaxed
data_Er2OsRh
_chemical_formula_sum 'Er2 Os1 Rh1'
_cell_length_a 3.3849
_cell_length_b 3.3849
_cell_length_c 6.7622
_cell_angle_alpha 90.00
_cell_angle_beta 90.00
_cell_angle_gamma 90.00
_symmetry_space_group_name_H-M 'P 1'
_symmetry_Int_Tables_number 1
_symmetry_space_group_name_Hall 'P 1'
loop_
_atom_site_label
_atom_site_type_symbol
_atom_site_fract_x
_atom_site_fract_y
_atom_site_fract_z
Rh1 Rh 0.5000 0.5000 0.5000
Os1 Os 0.5000 0.5000 0.0000
Er1 Er 0.0000 0.0000 0.7546
Er2 Er 0.0000 0.0000 0.2454
# - ΔH_f (0 K): -0.568 eV per atom


# Rb3Sm3PtO8 PBE relaxed
data_Rb3Sm3PtO8
_chemical_formula_sum 'Rb3 Sm3 Pt1 O8'
_cell_length_a 6.9952
_cell_length_b 6.9952
_cell_length_c 7.7399
_cell_angle_alpha 116.88
_cell_angle_beta 90.00
_cell_angle_gamma 120.00
_symmetry_space_group_name_H-M 'P 1'
_symmetry_Int_Tables_number 1
_symmetry_space_group_name_Hall 'P 1'
loop_
_atom_site_label
_atom_site_type_symbol
_atom_site_fract_x
_atom_site_fract_y
_atom_site_fract_z
Rb1 Rb 0.0000 0.0000 0.0000
Rb2 Rb 0.0000 0.5000 0.0000
Rb3 Rb 0.5000 0.5000 0.0000
Sm1 Sm 0.5000 0.0000 0.5000
Sm2 Sm 0.5000 0.5000 0.5000
Sm3 Sm 0.0000 0.5000 0.5000
Pt1 Pt 0.0000 0.0000 0.5000
O1 O 0.2746 0.5492 0.3239
O2 O 0.7254 0.4508 0.6761
O3 O 0.7928 0.5855 0.3330
O4 O 0.2072 0.4145 0.6670
O5 O 0.7928 0.0401 0.3331
O6 O 0.2072 0.9599 0.6669
O7 O 0.2474 0.0401 0.3331
O8 O 0.7526 0.9599 0.6669
# - Formation energy from raw total energies: -2186 meV per atom


# RbNpCu2S4 PBE relaxed
data_RbNpCu2S4
_chemical_formula_sum 'Rb1 Np1 Cu2 S4'
_cell_length_a 6.4864
_cell_length_b 6.6748
_cell_length_c 6.6748
_cell_angle_alpha 71.59
_cell_angle_beta 60.93
_cell_angle_gamma 60.93
_symmetry_space_group_name_H-M 'P 1'
_symmetry_Int_Tables_number 1
_symmetry_space_group_name_Hall 'P 1'
loop_
_atom_site_label
_atom_site_type_symbol
_atom_site_fract_x
_atom_site_fract_y
_atom_site_fract_z
Rb1 Rb 0.0000 0.0000 0.0000
Np1 Np 0.5000 0.5000 0.5000
Cu1 Cu 0.1451 0.3549 0.3549
Cu2 Cu 0.8549 0.6451 0.6451
S1 S 0.4359 0.1557 0.4930
S2 S 0.0846 0.8443 0.5070
S3 S 0.9154 0.4930 0.1557
S4 S 0.5641 0.5070 0.8443
# - Formation energy from raw total energies: -613 meV per atom


In the order shown, the computed uncorrected energy values come out to -43.59 -34.03 -71.36 -29.98 -95.55 -43.51 eV per cell.
In the order shown, the computed total moment values come out to 0.00 0.00 0.00 0.00 0.00 1.98 μB per cell.
In the order shown, the computed theoretical density values come out to 5.69 6.66 6.49 13.45 6.12 4.37 g cm⁻³.